The following is a GGA-PBE calculation of an optimized crystal structure of CsHgPbCl3, from Alexandria via LeMat-Bulk.

Summary:
formation energy (no corrections) = -1183 meV/atom
SG = Cmcm, No. 63

abc: 9.638 9.638 8.428
angles: 90.00 90.00 132.39
Sites, in units of the cell vectors:
Cs: 0.119 0.881 0.750
Cs: 0.881 0.119 0.250
Hg: 0.156 0.844 0.250
Hg: 0.844 0.156 0.750
Pb: 0.493 0.507 0.750
Pb: 0.507 0.493 0.250
Cl: 0.242 0.242 0.000
Cl: 0.242 0.242 0.500
Cl: 0.359 0.641 0.250
Cl: 0.641 0.359 0.750
Cl: 0.758 0.758 0.000
Cl: 0.758 0.758 0.500

***

The following is a GGA-PBE calculation of an optimized crystal structure of U2TlPt9, from Alexandria via LeMat-Bulk.

Summary:
SG = P4/mmm, No. 123
formation energy from the elements = -547 meV/atom

abc: 4.146 4.146 12.373
angles: 90.00 90.00 90.00
Sites, in units of the cell vectors:
U: 0.000 0.000 0.169
U: 0.000 0.000 0.831
Tl: 0.000 0.000 0.500
Pt: 0.000 0.500 0.000
Pt: 0.000 0.500 0.329
Pt: 0.000 0.500 0.671
Pt: 0.500 0.000 0.000
Pt: 0.500 0.000 0.329
Pt: 0.500 0.000 0.671
Pt: 0.500 0.500 0.167
Pt: 0.500 0.500 0.500
Pt: 0.500 0.500 0.833

***

The following is a GGA-PBE calculation of an optimized crystal structure of AsIrAuC2, from Alexandria via LeMat-Bulk.

Summary:
SG = Cm, No. 8
formation energy from the elements = 697 meV/atom
excess energy over the best structure of this formula in the dataset = 0.146 eV per atom

abc: 3.929 3.929 5.667
angles: 108.03 108.03 64.38
Sites, in units of the cell vectors:
As: 0.000 0.000 0.000
Ir: 0.600 0.600 0.794
Au: 0.656 0.656 0.311
C: 0.081 0.399 0.623
C: 0.399 0.081 0.623

***

The following is a GGA-PBE calculation of an optimized crystal structure of UTe3, from Alexandria via LeMat-Bulk.

Summary:
formation energy (no corrections) = -362 meV/atom
SG = Imm2, No. 44

abc: 6.069 6.069 6.069
angles: 140.75 75.70 118.20
Sites, in units of the cell vectors:
U: 0.000 0.000 0.000
Te: 0.049 0.742 0.307
Te: 0.435 0.742 0.693
Te: 0.649 0.149 0.500

***

The following is a GGA-PBE calculation of an optimized crystal structure of CeHo12Tm5, from Alexandria via LeMat-Bulk.

Summary:
SG = C2/m, No. 12
formation energy from the elements = 20 meV/atom

abc: 6.104 6.104 17.202
angles: 93.39 93.39 120.00
Sites, in units of the cell vectors:
Ce: 0.000 0.000 0.000
Ho: 0.056 0.388 0.166
Ho: 0.112 0.112 0.333
Ho: 0.222 0.555 0.667
Ho: 0.276 0.276 0.834
Ho: 0.388 0.056 0.166
Ho: 0.445 0.778 0.333
Ho: 0.555 0.222 0.667
Ho: 0.612 0.944 0.834
Ho: 0.724 0.724 0.166
Ho: 0.778 0.445 0.333
Ho: 0.888 0.888 0.667
Ho: 0.944 0.612 0.834
Tm: 0.167 0.833 0.500
Tm: 0.333 0.667 0.000
Tm: 0.500 0.500 0.500
Tm: 0.667 0.333 0.000
Tm: 0.833 0.167 0.500

***

The following is a GGA-PBE calculation of an optimized crystal structure of KCd2Rh, from Alexandria via LeMat-Bulk.

Summary:
SG = F-43m, No. 216
formation energy from the elements = 368 meV/atom
excess energy over the best structure of this formula in the dataset = 0.346 eV per atom

abc: 5.028 5.028 5.028
angles: 60.00 60.00 60.00
Sites, in units of the cell vectors:
K: 0.000 0.000 0.000
Cd: 0.500 0.500 0.500
Cd: 0.750 0.750 0.750
Rh: 0.250 0.250 0.250

***

| no. | spin magnetization (Bohr magnetons per cell) |
| --- | --- |
| 1 | 0.00 |
| 2 | 2.99 |
| 3 | 0.00 |
| 4 | 2.00 |
| 5 | 1.05 |
| 6 | 0.00 |